Here is a relaxed DyCuB3 crystal from the Open Quantum Materials Database. Energies are from PBE.

* energy: -41.47 eV/cell

Cell lengths 6.8828, 6.8828, 5.1787 Å; angles 90.00, 90.00, 120.00 degrees
Space group P6_3/mmc (No. 194)
Inequivalent atoms, fractional coordinates:
Dy 0.3333 0.6667 0.2500
Cu 0.0000 0.0000 0.0000
B 0.1285 0.2571 0.2500